! Sm5TmTl3 PBE-GGA relaxed; values from VASP
! Calculated volume = 29.72 Å³/atom
! DFT total energy = -4.168 eV per atom
! Formation energy from the elements = -0.260 eV per atom
! Space-group type = P6_3/mcm (193)
! Magnetization = 1.69 μB/f.u.
&SYSTEM
  ibrav = 0, nat = 18, ntyp = 3
/
ATOMIC_SPECIES
Tl 204.38 Tl.upf
Sm 150.36 Sm.upf
Tm 168.93 Tm.upf
CELL_PARAMETERS angstrom
-3.1953 5.8636 -1.4127
-3.0869 -3.6632 -8.2225
-5.2261 -0.9469 7.8905
ATOMIC_POSITIONS angstrom
Tl -6.3950 -1.6378 -0.5777
Tl -4.4740 1.9324 -6.5932
Tl -9.0009 0.0976 -3.9695
Tl -2.5075 1.1559 2.2249
Tl -1.8083 0.2680 -3.0419
Tl -5.1133 2.8913 -1.1669
Sm -3.6003 -0.0877 -0.4652
Sm -2.8460 -0.9634 -5.8060
Sm -4.2639 0.8380 4.8782
Sm -3.4363 3.1638 -3.8291
Sm -7.9081 1.3412 -1.2795
Sm -6.1116 1.0791 1.8137
Sm -3.7991 -2.7574 -2.8520
Sm -7.2445 0.4155 -6.6229
Sm -5.3968 0.1744 -3.5583
Sm -4.5139 -1.8527 2.5200
Tm -1.5977 2.9318 -0.7063
Tm 0.0000 0.0000 0.0000